1.
DFT (PBE-GGA) results for a relaxed BaCaRe2 crystal.

Cell lengths 8.541, 8.541, 6.619 Å; angles 49.82, 49.82, 90.00 degrees
Atoms (fractional coordinates):
Re  0.607  0.125  0.250
Re  0.143  0.625  0.250
Re  0.375  0.393  0.750
Re  0.875  0.857  0.750
Ca  0.500  0.500  0.000
Ca  0.250  0.750  0.500
Ba  0.000  0.000  0.000
Ba  0.750  0.250  0.500

Results
**V**: 197.58 Å³/cell
**D(E_F)**: 6.1 states/eV/f.u.
**ΔE to the lowest computed polymorph**: 1.375 eV per atom
**ΔH_f (0 K)**: 1.73 eV per atom

---

2.
DFT (PBE-GGA) results for a relaxed AcYTmCd crystal.

Cell lengths 5.647, 5.647, 5.647 Å; angles 60.00, 60.00, 60.00 degrees
Atoms (fractional coordinates):
Y  0.750  0.750  0.750
Ac  0.250  0.250  0.250
Tm  0.500  0.500  0.500
Cd  0.000  0.000  0.000

Results
**V**: 127.31 Å³/cell
**D(E_F)**: 5.2 states/eV/f.u.
**ΔH_f (0 K)**: -0.01 eV per atom

---

3.
DFT (PBE-GGA) results for a relaxed K2RbGaP2 crystal.

Cell lengths 8.182, 6.711, 8.654 Å; angles 112.81, 118.21, 90.00 degrees
Atoms (fractional coordinates):
K  0.501  0.183  0.367
K  0.499  0.817  0.633
K  0.134  0.317  0.633
K  0.866  0.683  0.367
Rb  0.000  0.750  0.000
Rb  0.000  0.250  0.000
Ga  0.500  0.750  0.000
Ga  0.500  0.250  0.000
P  0.758  0.088  0.176
P  0.419  0.588  0.176
P  0.581  0.412  0.824
P  0.242  0.912  0.824

Results
**V**: 376.02 Å³/cell
**ΔH_f (0 K)**: -0.38 eV per atom

---

4.
DFT (PBE-GGA) results for a relaxed Te2MoRu crystal.

Cell lengths 3.994, 3.926, 6.739 Å; angles 90.07, 90.00, 90.00 degrees
Atoms (fractional coordinates):
Mo  0.000  0.375  0.623
Ru  0.500  0.875  0.626
Te  0.000  0.876  0.895
Te  0.500  0.374  0.356

Results
**V**: 105.66 Å³/cell
**D(E_F)**: 4.6 states/eV/f.u.
**ΔE to the lowest computed polymorph**: 0.000 eV per atom
**Energy relative to the elements, uncorrected**: 0.15 eV/f.u.

---

5.
DFT (PBE-GGA) results for a relaxed PuTi2P2 crystal.

Cell lengths 6.444, 6.444, 6.370 Å; angles 114.41, 114.41, 100.43 degrees
Atoms (fractional coordinates):
Pu  0.875  0.625  0.750
Pu  0.125  0.375  0.250
Ti  0.240  0.990  0.481
Ti  0.490  0.740  0.981
Ti  0.760  0.010  0.519
Ti  0.510  0.260  0.019
P  0.159  0.341  0.750
P  0.408  0.092  0.250
P  0.592  0.908  0.750
P  0.841  0.659  0.250

Results
**V**: 198.67 Å³/cell
**D(E_F)**: 11.8 states/eV/f.u.
**ΔH_f (0 K)**: -0.83 eV per atom

---

6.
DFT (PBE-GGA) results for a relaxed RbBa2Cu crystal.

Cell lengths 6.318, 6.318, 6.318 Å; angles 60.00, 60.00, 60.00 degrees
Atoms (fractional coordinates):
Cu  0.000  0.000  0.000
Ba  0.250  0.250  0.250
Ba  0.750  0.750  0.750
Rb  0.500  0.500  0.500

Results
**V**: 178.35 Å³/cell
**D(E_F)**: 6.4 states/eV/f.u.
**ΔE to the lowest computed polymorph**: 0.350 eV per atom
**ΔH_f (0 K)**: 0.39 eV per atom

---

7.
DFT (PBE-GGA) results for a relaxed ThBe2Pd crystal.

Cell lengths 3.927, 3.927, 5.523 Å; angles 69.18, 69.18, 60.00 degrees
Atoms (fractional coordinates):
Be  0.803  0.803  0.591
Be  0.197  0.197  0.409
Pd  0.500  0.500  0.500
Th  0.000  0.000  0.000

Results
**V**: 67.25 Å³/cell
**D(E_F)**: 3.1 states/eV/f.u.
**ΔH_f (0 K)**: -0.36 eV per atom

---

8.
DFT (PBE-GGA) results for a relaxed Lu2CdF crystal.

Cell lengths 3.285, 3.285, 10.051 Å; angles 80.60, 80.60, 60.00 degrees
Atoms (fractional coordinates):
F  0.500  0.500  0.500
Lu  0.105  0.105  0.684
Lu  0.895  0.895  0.316
Cd  0.000  0.000  0.000

Results
**V**: 92.23 Å³/cell
**D(E_F)**: 3.4 states/eV/f.u.
**Energy relative to the elements, uncorrected**: -3.29 eV/f.u.